(1)
Entry from Alexandria via LeMat-Bulk: a relaxed Pm2ThZn2Sn2 crystal (PBE).

a = 11.601 Å, b = 11.601 Å, c = 11.601 Å
α = 22.06°, β = 22.06°, γ = 22.06°
Sites, in units of the cell vectors:
Pm 0.127 0.127 0.127
Pm 0.873 0.873 0.873
Th 0.000 0.000 0.000
Zn 0.385 0.385 0.385
Zn 0.615 0.615 0.615
Sn 0.262 0.262 0.262
Sn 0.738 0.738 0.738

Values from the calculation:
- formation enthalpy at 0 K (eV/f.u.) = -2.4

=====

(2)
Entry from Alexandria via LeMat-Bulk: a relaxed La5Y4Cd4 crystal (PBE).

a = 9.227 Å, b = 9.227 Å, c = 9.227 Å
α = 94.74°, β = 94.74°, γ = 146.57°
Sites, in units of the cell vectors:
La 0.000 0.000 0.000
La 0.315 0.611 0.925
La 0.389 0.315 0.704
La 0.611 0.685 0.296
La 0.685 0.389 0.075
Y 0.096 0.396 0.492
Y 0.396 0.904 0.300
Y 0.604 0.096 0.700
Y 0.904 0.604 0.508
Cd 0.097 0.757 0.854
Cd 0.243 0.097 0.341
Cd 0.757 0.903 0.659
Cd 0.903 0.243 0.146

Values from the calculation:
- formation enthalpy at 0 K (eV/f.u.) = -2.3

=====

(3)
Entry from Alexandria via LeMat-Bulk: a relaxed LaRuBr2 crystal (PBE).

a = 9.734 Å, b = 9.734 Å, c = 9.734 Å
α = 151.61°, β = 151.61°, γ = 40.59°
Sites, in units of the cell vectors:
La 0.000 0.000 0.000
La 0.750 0.250 0.500
Ru 0.250 0.750 0.500
Ru 0.500 0.500 0.000
Br 0.161 0.625 0.036
Br 0.375 0.411 0.536
Br 0.589 0.125 0.964
Br 0.875 0.839 0.464

Values from the calculation:
- energy relative to the lowest polymorph listed for this composition (meV/atom) = 387.5
- E_form (uncorrected) (eV per atom) = -0.3651

=====

(4)
Entry from Alexandria via LeMat-Bulk: a relaxed CaCu2Ni crystal (PBE).

a = 5.108 Å, b = 5.108 Å, c = 5.108 Å
α = 141.51°, β = 130.56°, γ = 64.34°
Sites, in units of the cell vectors:
Ca 0.000 0.000 0.000
Cu 0.274 0.774 0.500
Cu 0.726 0.226 0.500
Ni 0.500 0.500 0.000

Values from the calculation:
- energy relative to the lowest polymorph listed for this composition (meV/atom) = 240.6
- formation enthalpy at 0 K (eV/f.u.) = 0.4

=====

(5)
Entry from Alexandria via LeMat-Bulk: a relaxed Ac2CeCu3Ge4 crystal (PBE).

a = 4.469 Å, b = 4.469 Å, c = 11.117 Å
α = 90.00°, β = 90.00°, γ = 90.00°
Sites, in units of the cell vectors:
Ac 0.000 0.500 0.223
Ac 0.500 0.000 0.777
Ce 0.000 0.000 0.500
Cu 0.000 0.500 0.890
Cu 0.500 0.000 0.110
Cu 0.500 0.500 0.500
Ge 0.000 0.000 0.000
Ge 0.000 0.500 0.664
Ge 0.500 0.000 0.336
Ge 0.500 0.500 0.000

Values from the calculation:
- formation enthalpy at 0 K (eV/f.u.) = -4.7

=====

(6)
Entry from Alexandria via LeMat-Bulk: a relaxed PrSc2Ru crystal (PBE).

a = 3.299 Å, b = 3.299 Å, c = 8.535 Å
α = 90.00°, β = 90.00°, γ = 90.00°
Sites, in units of the cell vectors:
Pr 0.000 0.000 0.000
Sc 0.500 0.500 0.323
Sc 0.500 0.500 0.677
Ru 0.000 0.000 0.500

Values from the calculation:
- energy relative to the lowest polymorph listed for this composition (meV/atom) = 0.0
- formation enthalpy at 0 K (eV/f.u.) = -1.3

=====

| no. | final energy (eV/cell) |
| --- | --- |
| 1 | -29.89 |
| 2 | -56.42 |
| 3 | -38.02 |
| 4 | -15.57 |
| 5 | -49.60 |
| 6 | -28.04 |